{"formula": "NaScS2", "functional": "PBE", "state": "relaxed", "sg": "P3m1, No. 156", "magmom_total_mub_per_atom": 0.000, "e_form_raw_mev_per_atom": -1422, "lattice_angstrom": [[1.0651, 2.5364, 3.1081], [-3.8387, -1.5690, -0.1756], [2.0225, -5.3605, 3.6815]], "species": ["S", "S", "Na", "Sc"], "frac_coords": [[0.3333, 0.6667, 0.7697], [0.6667, 0.3333, 0.2987], [0.0000, 0.0000, 0.9499], [0.3333, 0.6667, 0.4367]]}